TaCd2Ag, optimized geometry, DFT PBE; calculated formation energy = 0.5028 eV/atom; ΔE to the lowest computed polymorph = 353 meV/atom; DFT total energy = -14.5 eV/f.u.; spin magnetization = 0.0 μB per formula unit
1.0
4.777 0.000 0.000
2.389 4.137 0.000
2.389 1.379 3.901
Cd Ag Ta
2 1 1
direct
0.000 0.000 0.000
0.250 0.250 0.250
0.500 0.500 0.500
0.750 0.750 0.750



La6Ir2O, optimized geometry, DFT PBE; DFT total energy = -61.6 eV/f.u.; spin magnetization = 0.0 μB per formula unit; formation energy without anion corrections = -1039 meV/atom
1.0
-5.354 3.885 0.674
-4.348 -5.983 -0.058
1.001 -0.825 10.110
La Ir O
12 4 2
direct
0.136 0.043 0.262
0.173 0.318 0.563
0.179 0.340 0.931
0.321 0.840 0.569
0.327 0.818 0.937
0.364 0.543 0.238
0.864 0.957 0.738
0.827 0.682 0.437
0.821 0.660 0.069
0.679 0.160 0.431
0.673 0.182 0.063
0.636 0.457 0.762
0.058 0.612 0.736
0.442 0.112 0.764
0.558 0.888 0.236
0.942 0.388 0.264
0.500 0.500 0.000
0.000 0.000 0.500



Cs3Sm2HoSe6, optimized geometry, DFT PBE; DFT total energy = -58.2 eV/f.u.; spin magnetization = 0.0 μB per formula unit; formation energy without anion corrections = -1727 meV/atom
1.0
-0.934 -7.304 -1.316
5.547 3.726 -3.361
3.561 -0.614 7.971
Cs Sm Ho Se
3 2 1 6
direct
0.168 0.832 0.500
0.832 0.168 0.500
0.500 0.500 0.500
0.333 0.667 0.000
0.667 0.333 0.000
0.000 0.000 0.000
0.938 0.610 0.813
0.735 0.735 0.188
0.062 0.390 0.187
0.610 0.938 0.813
0.265 0.265 0.812
0.390 0.062 0.187



PmSmHgSb, optimized geometry, DFT PBE; DFT total energy = -16.5 eV/f.u.; spin magnetization = 0.0 μB per formula unit; formation energy without anion corrections = -664 meV/atom
1.0
5.398 0.000 0.000
2.699 4.675 0.000
2.699 1.558 4.408
Sb Hg Sm Pm
1 1 1 1
direct
0.000 0.000 0.000
0.500 0.500 0.500
0.750 0.750 0.750
0.250 0.250 0.250



Ho6Tl3Hg, optimized geometry, DFT PBE; calculated formation energy = -0.1983 eV/atom; ΔE to the lowest computed polymorph = 76 meV/atom; DFT total energy = -36.8 eV/f.u.; spin magnetization = 0.0 μB per formula unit
1.0
-1.214 -0.330 -3.512
-4.035 -10.704 2.400
-9.976 10.135 2.496
Ho Tl Hg
12 6 2
direct
0.750 0.516 0.659
0.250 0.484 0.341
0.750 0.860 0.112
0.250 0.140 0.888
0.750 0.409 0.109
0.250 0.591 0.891
0.750 0.727 0.328
0.250 0.273 0.672
0.750 0.099 0.453
0.250 0.901 0.547
0.750 0.841 0.754
0.250 0.159 0.246
0.750 0.364 0.875
0.250 0.636 0.125
0.750 0.667 0.521
0.250 0.333 0.479
0.750 0.122 0.061
0.250 0.878 0.939
0.750 0.077 0.701
0.250 0.923 0.299



Ac2TiGe4Ir3, optimized geometry, DFT PBE; calculated formation energy = -0.7093 eV/atom; DFT total energy = -68.3 eV/f.u.; spin magnetization = 0.0 μB per formula unit
1.0
-2.985 0.307 3.155
-3.169 -0.353 -2.964
0.115 -10.667 1.148
Ac Ti Ge Ir
2 1 4 3
direct
0.500 0.000 0.243
0.000 0.500 0.757
0.500 0.500 0.500
0.500 0.500 0.000
0.000 0.000 0.000
0.500 0.000 0.637
0.000 0.500 0.363
0.000 0.000 0.500
0.500 0.000 0.880
0.000 0.500 0.120



TbMgGa2Pd2, optimized geometry, DFT PBE; calculated formation energy = -0.7333 eV/atom; DFT total energy = -27.1 eV/f.u.; spin magnetization = 0.0 μB per formula unit
1.0
-0.981 4.163 1.104
0.638 -3.029 3.151
6.454 1.488 0.123
Tb Mg Ga Pd
1 1 2 2
direct
0.000 0.000 0.000
0.000 0.000 0.500
0.333 0.667 0.722
0.667 0.333 0.278
0.333 0.667 0.300
0.667 0.333 0.700



LiMn2GaC, optimized geometry, DFT PBE; calculated formation energy = -0.0834 eV/atom; DFT total energy = -32.9 eV/f.u.; spin magnetization = 3.3 μB per formula unit
1.0
-3.341 -1.809 -0.013
1.366 -2.540 2.473
-1.227 2.243 2.981
C Mn Ga Li
1 2 1 1
direct
0.000 0.000 0.000
0.000 0.500 0.000
0.500 0.000 0.000
0.500 0.500 0.500
0.000 0.000 0.500



Y2BeOsPb, optimized geometry, DFT PBE; calculated formation energy = 1.1809 eV/atom; DFT total energy = -25.7 eV/f.u.; spin magnetization = 0.6 μB per formula unit
1.0
-3.241 -3.600 2.981
3.453 -1.370 2.099
-0.814 4.007 3.954
Pb Y Os Be
1 2 1 1
direct
0.000 0.000 0.000
0.000 0.000 0.500
0.500 0.000 0.000
0.500 0.500 0.500
0.000 0.500 0.000



Pm4Nd3Hg2, optimized geometry, DFT PBE; calculated formation energy = -0.1287 eV/atom; DFT total energy = -35.1 eV/f.u.; spin magnetization = 0.0 μB per formula unit
1.0
5.054 0.000 0.000
0.000 7.696 0.543
-2.527 -3.075 7.069
Pm Nd Hg
4 3 2
direct
0.558 0.338 0.115
0.778 0.706 0.556
0.442 0.662 0.885
0.222 0.294 0.444
0.884 0.322 0.768
0.116 0.678 0.232
0.000 0.000 0.000
0.346 0.004 0.693
0.654 0.996 0.307



SrLi2Ag, optimized geometry, DFT PBE; calculated formation energy = -0.0959 eV/atom; DFT total energy = -8.7 eV/f.u.; spin magnetization = 0.0 μB per formula unit
1.0
-3.154 -0.973 4.075
-3.430 -3.776 1.216
2.704 -3.582 3.250
Sr Ag Li
1 1 2
direct
0.750 0.750 0.750
0.250 0.250 0.250
0.959 0.959 0.115
0.541 0.541 0.385



RbNaTlHg, optimized geometry, DFT PBE; calculated formation energy = -0.0717 eV/atom; ΔE to the lowest computed polymorph = 65 meV/atom; DFT total energy = -5.2 eV/f.u.; spin magnetization = 0.0 μB per formula unit
1.0
-0.159 0.701 5.747
-5.057 0.931 2.665
-2.306 -4.118 3.357
Na Tl Hg Rb
1 1 1 1
direct
0.000 0.000 0.000
0.750 0.750 0.750
0.500 0.500 0.500
0.250 0.250 0.250